1.
Material: Cs2CuAuO
Method: DFT, PBE
State: optimized geometry Values from VASP.

Calculated values
final energy	-0.2510	Ry/atom
space-group type	No. 123

Quantum ESPRESSO input file:
```
&SYSTEM
  ibrav = 0, nat = 5, ntyp = 4
/
ATOMIC_SPECIES
Cs 132.91 Cs.upf
Cu 63.55 Cu.upf
Au 196.97 Au.upf
O 16.00 O.upf
CELL_PARAMETERS angstrom
6.384 0.000 0.000
0.000 6.384 0.000
0.000 0.000 3.681
ATOMIC_POSITIONS crystal
Cs 0.000 0.500 0.000
Cs 0.500 0.000 0.000
Cu 0.000 0.000 0.500
Au 0.500 0.500 0.500
O 0.000 0.000 0.000
```

2.
Material: CsFe2Cl8
Method: DFT, PBE
State: optimized geometry Values from VASP.

Calculated values
final energy	-0.2868	Ry/atom
space-group type	No. 12

Quantum ESPRESSO input file:
```
&SYSTEM
  ibrav = 0, nat = 11, ntyp = 3
/
ATOMIC_SPECIES
Cs 132.91 Cs.upf
Fe 55.84 Fe.upf
Cl 35.45 Cl.upf
CELL_PARAMETERS angstrom
6.976 -3.348 0.000
6.976 3.348 0.000
-3.771 0.000 8.291
ATOMIC_POSITIONS crystal
Cs 0.000 0.000 0.000
Fe 0.203 0.203 0.696
Fe 0.797 0.797 0.304
Cl 0.118 0.609 0.232
Cl 0.165 0.165 0.440
Cl 0.375 0.375 0.827
Cl 0.391 0.882 0.768
Cl 0.609 0.118 0.232
Cl 0.625 0.625 0.173
Cl 0.835 0.835 0.560
Cl 0.882 0.391 0.768
```

3.
Material: BaHfMg2Cd
Method: DFT, PBE
State: optimized geometry Values from VASP.

Calculated values
energy of formation	35.1	kcal/mol of atoms
space-group type	No. 123
ΔE to the lowest computed polymorph	101.7	kJ/mol of atoms

Quantum ESPRESSO input file:
```
&SYSTEM
  ibrav = 0, nat = 5, ntyp = 4
/
ATOMIC_SPECIES
Ba 137.33 Ba.upf
Hf 178.49 Hf.upf
Mg 24.30 Mg.upf
Cd 112.41 Cd.upf
CELL_PARAMETERS angstrom
5.975 0.000 0.000
0.000 5.975 0.000
0.000 0.000 5.619
ATOMIC_POSITIONS crystal
Ba 0.000 0.000 0.000
Hf 0.000 0.000 0.500
Mg 0.000 0.500 0.000
Mg 0.500 0.000 0.000
Cd 0.500 0.500 0.500
```

4.
Material: Nd2P2Ru2C
Method: DFT, PBE
State: optimized geometry Values from VASP.

Calculated values
energy of formation	-20.1	kcal/mol of atoms
space-group type	No. 12

Quantum ESPRESSO input file:
```
&SYSTEM
  ibrav = 0, nat = 7, ntyp = 4
/
ATOMIC_SPECIES
Nd 144.24 Nd.upf
P 30.97 P.upf
Ru 101.07 Ru.upf
C 12.01 C.upf
CELL_PARAMETERS angstrom
5.554 -2.003 0.000
5.554 2.003 0.000
-4.053 0.000 5.581
ATOMIC_POSITIONS crystal
Nd 0.065 0.065 0.312
Nd 0.935 0.935 0.688
P 0.319 0.319 0.280
P 0.681 0.681 0.720
Ru 0.304 0.304 0.920
Ru 0.696 0.696 0.080
C 0.500 0.500 0.000
```

5.
Material: MnMo4Cl
Method: DFT, PBE
State: optimized geometry Values from VASP.

Calculated values
final energy	-0.5998	Ry/atom
space-group type	No. 216

Quantum ESPRESSO input file:
```
&SYSTEM
  ibrav = 0, nat = 6, ntyp = 3
/
ATOMIC_SPECIES
Mn 54.94 Mn.upf
Mo 95.94 Mo.upf
Cl 35.45 Cl.upf
CELL_PARAMETERS angstrom
0.000 3.727 3.727
3.727 0.000 3.727
3.727 3.727 0.000
ATOMIC_POSITIONS crystal
Mn 0.000 0.000 0.000
Mo 0.128 0.624 0.624
Mo 0.624 0.128 0.624
Mo 0.624 0.624 0.128
Mo 0.624 0.624 0.624
Cl 0.250 0.250 0.250
```

6.
Material: Pm4TeAs2P
Method: DFT, PBE
State: optimized geometry Values from VASP.

Calculated values
final energy	-0.4514	Ry/atom
space-group type	No. 10

Quantum ESPRESSO input file:
```
&SYSTEM
  ibrav = 0, nat = 8, ntyp = 4
/
ATOMIC_SPECIES
Pm 145.00 Pm.upf
Te 127.60 Te.upf
As 74.92 As.upf
P 30.97 P.upf
CELL_PARAMETERS angstrom
7.383 0.000 0.000
0.000 4.260 0.000
-2.449 0.000 7.007
ATOMIC_POSITIONS crystal
Pm 0.237 0.000 0.232
Pm 0.248 0.500 0.762
Pm 0.752 0.500 0.238
Pm 0.763 0.000 0.768
Te 0.500 0.500 0.500
As 0.000 0.000 0.500
As 0.000 0.500 0.000
P 0.500 0.000 0.000
```

7.
Material: TlCuClF2
Method: DFT, PBE
State: optimized geometry Values from VASP.

Calculated values
space-group type	No. 63
ΔE to the lowest computed polymorph	0.0	kJ/mol of atoms

Quantum ESPRESSO input file:
```
&SYSTEM
  ibrav = 0, nat = 10, ntyp = 4
/
ATOMIC_SPECIES
Tl 204.38 Tl.upf
Cu 63.55 Cu.upf
Cl 35.45 Cl.upf
F 19.00 F.upf
CELL_PARAMETERS angstrom
1.853 -6.883 0.000
1.853 6.883 0.000
0.000 0.000 7.387
ATOMIC_POSITIONS crystal
Tl 0.227 0.773 0.750
Tl 0.773 0.227 0.250
Cu 0.500 0.500 0.000
Cu 0.500 0.500 0.500
Cl 0.018 0.982 0.250
Cl 0.982 0.018 0.750
F 0.365 0.635 0.031
F 0.365 0.635 0.469
F 0.635 0.365 0.531
F 0.635 0.365 0.969
```

8.
Material: Mg3CuAg4
Method: DFT, PBE
State: optimized geometry Values from VASP.

Calculated values
energy of formation	-3.5	kcal/mol of atoms
space-group type	No. 139

Quantum ESPRESSO input file:
```
&SYSTEM
  ibrav = 0, nat = 8, ntyp = 3
/
ATOMIC_SPECIES
Mg 24.30 Mg.upf
Cu 63.55 Cu.upf
Ag 107.87 Ag.upf
CELL_PARAMETERS angstrom
-2.277 2.277 6.759
2.277 -2.277 6.759
2.277 2.277 -6.759
ATOMIC_POSITIONS crystal
Mg 0.000 0.000 0.000
Mg 0.254 0.254 0.000
Mg 0.746 0.746 0.000
Cu 0.500 0.500 0.000
Ag 0.120 0.620 0.500
Ag 0.380 0.880 0.500
Ag 0.620 0.120 0.500
Ag 0.880 0.380 0.500
```

9.
Material: FeW2Br
Method: DFT, PBE
State: optimized geometry Values from VASP.

Calculated values
space-group type	No. 12
ΔE to the lowest computed polymorph	52.3	kJ/mol of atoms

Quantum ESPRESSO input file:
```
&SYSTEM
  ibrav = 0, nat = 4, ntyp = 3
/
ATOMIC_SPECIES
Fe 55.84 Fe.upf
W 183.84 W.upf
Br 79.90 Br.upf
CELL_PARAMETERS angstrom
2.686 -4.400 0.000
2.686 4.400 0.000
-1.009 0.000 2.694
ATOMIC_POSITIONS crystal
Fe 0.000 0.000 0.000
W 0.000 0.500 0.500
W 0.500 0.000 0.500
Br 0.500 0.500 0.000
```

10.
Material: Ta2V2Ga
Method: DFT, PBE
State: optimized geometry Values from VASP.

Calculated values
energy of formation	3.2	kcal/mol of atoms
space-group type	No. 127

Quantum ESPRESSO input file:
```
&SYSTEM
  ibrav = 0, nat = 10, ntyp = 3
/
ATOMIC_SPECIES
Ta 180.95 Ta.upf
V 50.94 V.upf
Ga 69.72 Ga.upf
CELL_PARAMETERS angstrom
6.671 0.000 0.000
0.000 6.671 0.000
0.000 0.000 3.643
ATOMIC_POSITIONS crystal
Ta 0.180 0.320 0.000
Ta 0.320 0.820 0.000
Ta 0.680 0.180 0.000
Ta 0.820 0.680 0.000
V 0.122 0.622 0.500
V 0.378 0.122 0.500
V 0.622 0.878 0.500
V 0.878 0.378 0.500
Ga 0.000 0.000 0.500
Ga 0.500 0.500 0.500
```

11.
Material: ZnNi2As
Method: DFT, PBE
State: optimized geometry Values from VASP.

Calculated values
energy of formation	-3.0	kcal/mol of atoms
space-group type	No. 99
ΔE to the lowest computed polymorph	8.0	kJ/mol of atoms

Quantum ESPRESSO input file:
```
&SYSTEM
  ibrav = 0, nat = 4, ntyp = 3
/
ATOMIC_SPECIES
Zn 65.41 Zn.upf
Ni 58.69 Ni.upf
As 74.92 As.upf
CELL_PARAMETERS angstrom
3.267 0.000 0.000
0.000 3.267 0.000
0.000 0.000 4.944
ATOMIC_POSITIONS crystal
Zn 0.000 0.000 0.000
Ni 0.000 0.000 0.512
Ni 0.500 0.500 0.807
As 0.500 0.500 0.328
```

12.
Material: AgPRu2
Method: DFT, PBE
State: optimized geometry Values from VASP.

Calculated values
energy of formation	1.1	kcal/mol of atoms
space-group type	No. 10
ΔE to the lowest computed polymorph	7.0	kJ/mol of atoms

Quantum ESPRESSO input file:
```
&SYSTEM
  ibrav = 0, nat = 4, ntyp = 3
/
ATOMIC_SPECIES
Ag 107.87 Ag.upf
P 30.97 P.upf
Ru 101.07 Ru.upf
CELL_PARAMETERS angstrom
2.942 0.000 0.000
0.000 3.624 0.000
-1.401 0.000 5.550
ATOMIC_POSITIONS crystal
Ag 0.000 0.000 0.000
P 0.000 0.000 0.500
Ru 0.349 0.500 0.710
Ru 0.651 0.500 0.290
```

13.
Material: MgTa2N4
Method: DFT, PBE
State: optimized geometry Values from VASP.

Calculated values
final energy	-0.6884	Ry/atom
space-group type	No. 63

Quantum ESPRESSO input file:
```
&SYSTEM
  ibrav = 0, nat = 14, ntyp = 3
/
ATOMIC_SPECIES
Mg 24.30 Mg.upf
Ta 180.95 Ta.upf
N 14.01 N.upf
CELL_PARAMETERS angstrom
1.517 -4.971 0.000
1.517 4.971 0.000
0.000 0.000 10.499
ATOMIC_POSITIONS crystal
Mg 0.114 0.886 0.750
Mg 0.886 0.114 0.250
Ta 0.368 0.632 0.581
Ta 0.368 0.632 0.919
Ta 0.632 0.368 0.081
Ta 0.632 0.368 0.419
N 0.000 0.000 0.000
N 0.000 0.000 0.500
N 0.264 0.736 0.115
N 0.264 0.736 0.385
N 0.458 0.542 0.750
N 0.542 0.458 0.250
N 0.736 0.264 0.615
N 0.736 0.264 0.885
```

14.
Material: CaTmAlCu
Method: DFT, PBE
State: optimized geometry Values from VASP.

Calculated values
energy of formation	-4.2	kcal/mol of atoms
space-group type	No. 216

Quantum ESPRESSO input file:
```
&SYSTEM
  ibrav = 0, nat = 4, ntyp = 4
/
ATOMIC_SPECIES
Ca 40.08 Ca.upf
Tm 168.93 Tm.upf
Al 26.98 Al.upf
Cu 63.55 Cu.upf
CELL_PARAMETERS angstrom
0.000 3.568 3.568
3.568 0.000 3.568
3.568 3.568 0.000
ATOMIC_POSITIONS crystal
Ca 0.000 0.000 0.000
Tm 0.500 0.500 0.500
Al 0.250 0.250 0.250
Cu 0.750 0.750 0.750
```

15.
Material: KDy2CuO5
Method: DFT, PBE
State: optimized geometry Values from VASP.

Calculated values
final energy	-0.4870	Ry/atom
space-group type	No. 140

Quantum ESPRESSO input file:
```
&SYSTEM
  ibrav = 0, nat = 18, ntyp = 4
/
ATOMIC_SPECIES
K 39.10 K.upf
Dy 162.50 Dy.upf
Cu 63.55 Cu.upf
O 16.00 O.upf
CELL_PARAMETERS angstrom
-3.264 3.264 5.710
3.264 -3.264 5.710
3.264 3.264 -5.710
ATOMIC_POSITIONS crystal
K 0.250 0.250 0.000
K 0.750 0.750 0.000
Dy 0.175 0.675 0.849
Dy 0.325 0.175 0.500
Dy 0.675 0.825 0.500
Dy 0.825 0.325 0.151
Cu 0.250 0.750 0.500
Cu 0.750 0.250 0.500
O 0.000 0.000 0.000
O 0.011 0.242 0.500
O 0.242 0.742 0.231
O 0.258 0.489 0.500
O 0.489 0.989 0.231
O 0.500 0.500 0.000
O 0.511 0.011 0.769
O 0.742 0.511 0.500
O 0.758 0.258 0.769
O 0.989 0.758 0.500
```

16.
Material: NaAs3P
Method: DFT, PBE
State: optimized geometry Values from VASP.

Calculated values
energy of formation	9.3	kcal/mol of atoms
space-group type	No. 221
ΔE to the lowest computed polymorph	0.0	kJ/mol of atoms

Quantum ESPRESSO input file:
```
&SYSTEM
  ibrav = 0, nat = 5, ntyp = 3
/
ATOMIC_SPECIES
Na 22.99 Na.upf
As 74.92 As.upf
P 30.97 P.upf
CELL_PARAMETERS angstrom
4.883 0.000 0.000
0.000 4.883 0.000
0.000 0.000 4.883
ATOMIC_POSITIONS crystal
Na 0.000 0.000 0.000
As 0.000 0.500 0.500
As 0.500 0.000 0.500
As 0.500 0.500 0.000
P 0.500 0.500 0.500
```